The following is a PBE calculation of a relaxed Pm6Sm5Dy2 crystal, from Alexandria via LeMat-Bulk.

a b c (Å): 3.6351 11.7856 20.7539
angles (deg): 90.00 90.00 90.00
Closest atoms and distances in Å follow each position.
Element x y z (fractional)
Pm 0.0000 0.5611 0.4199  6 Sm 3.55-3.70, 5 Pm 3.62-3.79, 1 Dy 3.85
Sm 0.5000 0.6982 0.5542  6 Pm 3.56-3.70, 3 Sm 3.64-3.73, 2 Dy 3.75
Sm 0.5000 0.9122 0.7739  5 Pm 3.36-3.55, 4 Dy 3.55-3.63, 2 Sm 3.64
Pm 0.0000 0.4389 0.5801  6 Sm 3.55-3.70, 5 Pm 3.62-3.79, 1 Dy 3.85
Sm 0.5000 0.8018 0.0542  6 Pm 3.56-3.70, 3 Sm 3.64-3.73, 2 Dy 3.75
Pm 0.5000 0.3250 0.1364  2 Sm 3.36-3.50, 4 Pm 3.53-3.64, 2 Dy 3.65
Sm 0.5000 0.5878 0.2739  5 Pm 3.36-3.55, 4 Dy 3.55-3.63, 2 Sm 3.64
Sm 0.5000 0.3018 0.4458  6 Pm 3.56-3.70, 3 Sm 3.64-3.73, 2 Dy 3.75
Sm 0.5000 0.0878 0.2261  5 Pm 3.36-3.55, 4 Dy 3.55-3.63, 2 Sm 3.64
Dy 0.0000 0.3302 0.2889  3 Pm 3.36-3.65, 6 Sm 3.55-3.75, 2 Dy 3.64
Pm 0.5000 0.6750 0.8636  2 Sm 3.36-3.50, 4 Pm 3.53-3.64, 2 Dy 3.65
Sm 0.5000 0.0000 0.5000  6 Pm 3.43-3.50, 4 Sm 3.64-3.73
Pm 0.5000 0.8250 0.3636  2 Sm 3.36-3.50, 4 Pm 3.53-3.64, 2 Dy 3.65
Pm 0.5000 0.1750 0.6364  2 Sm 3.36-3.50, 4 Pm 3.53-3.64, 2 Dy 3.65
Sm 0.5000 0.1982 0.9458  6 Pm 3.56-3.70, 3 Sm 3.64-3.73, 2 Dy 3.75
Pm 0.0000 0.9185 0.6324  1 Dy 3.36, 6 Sm 3.43-3.56, 4 Pm 3.53-3.64
Dy 0.0000 0.1698 0.7889  3 Pm 3.36-3.65, 6 Sm 3.55-3.75, 2 Dy 3.64
Pm 0.0000 0.0815 0.3676  1 Dy 3.36, 6 Sm 3.43-3.56, 4 Pm 3.53-3.64
Dy 0.0000 0.6698 0.7111  3 Pm 3.36-3.65, 6 Sm 3.55-3.75, 2 Dy 3.64
Pm 0.0000 0.0611 0.0801  6 Sm 3.55-3.70, 5 Pm 3.62-3.79, 1 Dy 3.85
Dy 0.0000 0.8302 0.2111  3 Pm 3.36-3.65, 6 Sm 3.55-3.75, 2 Dy 3.64
Sm 0.5000 0.4122 0.7261  5 Pm 3.36-3.55, 4 Dy 3.55-3.63, 2 Sm 3.64
Pm 0.0000 0.9389 0.9199  6 Sm 3.55-3.70, 5 Pm 3.62-3.79, 1 Dy 3.85
Pm 0.0000 0.4185 0.8676  1 Dy 3.36, 6 Sm 3.43-3.56, 4 Pm 3.53-3.64
Sm 0.5000 0.5000 0.0000  6 Pm 3.43-3.50, 4 Sm 3.64-3.73
Pm 0.0000 0.5815 0.1324  1 Dy 3.36, 6 Sm 3.43-3.56, 4 Pm 3.53-3.64

Properties
**Formation enthalpy at 0 K**: 0.09 eV/atom
**Total energy**: -120.2 eV for the cell shown
**M_tot**: 0.0 μB per cell
**Space group**: Pbam, No. 55